# HfAlW2 PBE-GGA optimized geometry
data_HfAlW2
_chemical_formula_sum 'Hf4 Al4 W8'
_symmetry_space_group_name_H-M 'I -4 2 d'
_symmetry_Int_Tables_number 122
_symmetry_space_group_name_Hall 'I -4 2bw'
_cell_length_a 7.434
_cell_length_b 7.434
_cell_length_c 5.336
_cell_angle_alpha 90.00
_cell_angle_beta 90.00
_cell_angle_gamma 90.00
loop_
_atom_site_label
_atom_site_fract_x
_atom_site_fract_y
_atom_site_fract_z
Hf1 0.000 0.000 0.000
Al1 0.000 0.000 0.500
W1 0.218 0.750 0.625
# D(E_F) = 2.4 states/eV/f.u.
# final energy = -146.20 eV/cell
# formation enthalpy at 0 K = 3.1 eV per formula unit
# M_tot = 0.0 μB/f.u.

---

# HfAlW PBE-GGA optimized geometry
data_HfAlW
_chemical_formula_sum 'Hf2 Al2 W2'
_symmetry_space_group_name_H-M 'I 4 m m'
_symmetry_Int_Tables_number 107
_symmetry_space_group_name_Hall 'I 4 -2'
_cell_length_a 2.762
_cell_length_b 2.762
_cell_length_c 15.182
_cell_angle_alpha 90.00
_cell_angle_beta 90.00
_cell_angle_gamma 90.00
loop_
_atom_site_label
_atom_site_fract_x
_atom_site_fract_y
_atom_site_fract_z
Hf1 0.000 0.000 0.000
Al1 0.000 0.000 0.647
W1 0.000 0.000 0.818
# D(E_F) = 4.0 states/eV/f.u.
# final energy = -49.09 eV/cell
# formation enthalpy at 0 K = 2.1 eV per formula unit
# M_tot = 0.0 μB/f.u.

---

# Hf2AlW PBE-GGA optimized geometry
data_Hf2AlW
_chemical_formula_sum 'Hf6 Al3 W3'
_symmetry_space_group_name_H-M 'R -3 m'
_symmetry_Int_Tables_number 166
_symmetry_space_group_name_Hall '-R 3 2"'
_cell_length_a 3.1829
_cell_length_b 3.1829
_cell_length_c 26.9566
_cell_angle_alpha 90.00
_cell_angle_beta 90.00
_cell_angle_gamma 120.00
loop_
_atom_site_label
_atom_site_fract_x
_atom_site_fract_y
_atom_site_fract_z
Hf1 0.0000 0.0000 0.2454
Al1 0.0000 0.0000 0.0000
W1 0.0000 0.0000 0.5000
# D(E_F) = 4.7 states/eV/f.u.
# final energy = -108.49 eV/cell
# formation enthalpy at 0 K = 0.4 eV per formula unit
# M_tot = 0.0 μB/f.u.

---

# HfAl2W PBE-GGA optimized geometry
data_HfAl2W
_chemical_formula_sum 'Hf4 Al8 W4'
_symmetry_space_group_name_H-M 'F m -3 m'
_symmetry_Int_Tables_number 225
_symmetry_space_group_name_Hall '-F 4 2 3'
_cell_length_a 6.451
_cell_length_b 6.451
_cell_length_c 6.451
_cell_angle_alpha 90.00
_cell_angle_beta 90.00
_cell_angle_gamma 90.00
loop_
_atom_site_label
_atom_site_fract_x
_atom_site_fract_y
_atom_site_fract_z
Hf1 0.000 0.000 0.000
Al1 0.250 0.250 0.250
W1 0.000 0.000 0.500
# D(E_F) = 5.1 states/eV/f.u.
# final energy = -121.12 eV/cell
# formation enthalpy at 0 K = 0.1 eV per formula unit
# M_tot = 0.0 μB/f.u.

---

# HfAlW PBE-GGA optimized geometry
data_HfAlW
_chemical_formula_sum 'Hf4 Al4 W4'
_symmetry_space_group_name_H-M 'I m m a'
_symmetry_Int_Tables_number 74
_symmetry_space_group_name_Hall '-I 2b 2'
_cell_length_a 5.300
_cell_length_b 5.326
_cell_length_c 7.556
_cell_angle_alpha 90.00
_cell_angle_beta 90.00
_cell_angle_gamma 90.00
loop_
_atom_site_label
_atom_site_fract_x
_atom_site_fract_y
_atom_site_fract_z
Hf1 0.000 0.250 0.131
Al1 0.250 0.250 0.750
W1 0.000 0.000 0.500
# D(E_F) = 2.0 states/eV/f.u.
# final energy = -109.77 eV/cell
# formation enthalpy at 0 K = -0.8 eV per formula unit
# M_tot = 0.0 μB/f.u.

---

# HfAlW PBE-GGA optimized geometry
data_HfAlW
_chemical_formula_sum 'Hf4 Al4 W4'
_symmetry_space_group_name_H-M 'C m c m'
_symmetry_Int_Tables_number 63
_symmetry_space_group_name_Hall '-C 2c 2'
_cell_length_a 3.560
_cell_length_b 13.348
_cell_length_c 4.449
_cell_angle_alpha 90.00
_cell_angle_beta 90.00
_cell_angle_gamma 90.00
loop_
_atom_site_label
_atom_site_fract_x
_atom_site_fract_y
_atom_site_fract_z
Hf1 0.000 0.084 0.250
Al1 0.000 0.246 0.750
W1 0.000 0.407 0.250
# D(E_F) = 2.6 states/eV/f.u.
# final energy = -107.67 eV/cell
# formation enthalpy at 0 K = -0.3 eV per formula unit
# M_tot = 0.0 μB/f.u.

---

# Hf2AlW PBE-GGA optimized geometry
data_Hf2AlW
_chemical_formula_sum 'Hf8 Al4 W4'
_symmetry_space_group_name_H-M 'I -4 2 d'
_symmetry_Int_Tables_number 122
_symmetry_space_group_name_Hall 'I -4 2bw'
_cell_length_a 7.603
_cell_length_b 7.603
_cell_length_c 5.578
_cell_angle_alpha 90.00
_cell_angle_beta 90.00
_cell_angle_gamma 90.00
loop_
_atom_site_label
_atom_site_fract_x
_atom_site_fract_y
_atom_site_fract_z
Hf1 0.238 0.250 0.125
Al1 0.000 0.000 0.500
W1 0.000 0.000 0.000
# D(E_F) = 3.4 states/eV/f.u.
# final energy = -137.54 eV/cell
# formation enthalpy at 0 K = 2.2 eV per formula unit
# M_tot = 0.0 μB/f.u.

---

# HfAlW3 PBE-GGA optimized geometry
data_HfAlW3
_chemical_formula_sum 'Hf1 Al1 W3'
_symmetry_space_group_name_H-M 'P m -3 m'
_symmetry_Int_Tables_number 221
_symmetry_space_group_name_Hall '-P 4 2 3'
_cell_length_a 4.785
_cell_length_b 4.785
_cell_length_c 4.785
_cell_angle_alpha 90.00
_cell_angle_beta 90.00
_cell_angle_gamma 90.00
loop_
_atom_site_label
_atom_site_fract_x
_atom_site_fract_y
_atom_site_fract_z
Hf1 0.000 0.000 0.000
Al1 0.500 0.500 0.500
W1 0.000 0.000 0.500
# D(E_F) = 5.0 states/eV/f.u.
# final energy = -40.43 eV/cell
# formation enthalpy at 0 K = 12.1 eV per formula unit
# M_tot = 0.0 μB/f.u.

---

# HfAl3W PBE-GGA optimized geometry
data_HfAl3W
_chemical_formula_sum 'Hf1 Al3 W1'
_symmetry_space_group_name_H-M 'P m -3 m'
_symmetry_Int_Tables_number 221
_symmetry_space_group_name_Hall '-P 4 2 3'
_cell_length_a 4.734
_cell_length_b 4.734
_cell_length_c 4.734
_cell_angle_alpha 90.00
_cell_angle_beta 90.00
_cell_angle_gamma 90.00
loop_
_atom_site_label
_atom_site_fract_x
_atom_site_fract_y
_atom_site_fract_z
Hf1 0.000 0.000 0.000
Al1 0.000 0.500 0.500
W1 0.500 0.500 0.500
# D(E_F) = 2.7 states/eV/f.u.
# final energy = -30.54 eV/cell
# formation enthalpy at 0 K = 3.6 eV per formula unit
# M_tot = 0.0 μB/f.u.

---

# Y2HfAl PBE-GGA optimized geometry
data_Y2HfAl
_chemical_formula_sum 'Y6 Hf3 Al3'
_symmetry_space_group_name_H-M 'R -3 m'
_symmetry_Int_Tables_number 166
_symmetry_space_group_name_Hall '-R 3 2"'
_cell_length_a 3.2815
_cell_length_b 3.2815
_cell_length_c 33.8520
_cell_angle_alpha 90.00
_cell_angle_beta 90.00
_cell_angle_gamma 120.00
loop_
_atom_site_label
_atom_site_fract_x
_atom_site_fract_y
_atom_site_fract_z
Y1 0.0000 0.0000 0.0956
Hf1 0.0000 0.0000 0.0000
Al1 0.0000 0.0000 0.5000
# D(E_F) = 5.4 states/eV/f.u.
# final energy = -76.56 eV/cell
# formation enthalpy at 0 K = 1.1 eV per formula unit
# M_tot = 0.0 μB/f.u.

---

# YHf2Al6 PBE-GGA optimized geometry
data_YHf2Al6
_chemical_formula_sum 'Y2 Hf4 Al12'
_symmetry_space_group_name_H-M 'I m m m'
_symmetry_Int_Tables_number 71
_symmetry_space_group_name_Hall '-I 2 2'
_cell_length_a 4.238
_cell_length_b 6.740
_cell_length_c 13.090
_cell_angle_alpha 90.00
_cell_angle_beta 90.00
_cell_angle_gamma 90.00
loop_
_atom_site_label
_atom_site_fract_x
_atom_site_fract_y
_atom_site_fract_z
Y1 0.000 0.000 0.000
Hf1 0.000 0.500 0.116
Al1 0.000 0.187 0.500
Al2 0.000 0.292 0.309
# D(E_F) = 3.9 states/eV/f.u.
# final energy = -102.27 eV/cell
# formation enthalpy at 0 K = -2.3 eV per formula unit
# M_tot = 0.0 μB/f.u.

---

# YHf3Al PBE-GGA optimized geometry
data_YHf3Al
_chemical_formula_sum 'Y1 Hf3 Al1'
_symmetry_space_group_name_H-M 'P m -3 m'
_symmetry_Int_Tables_number 221
_symmetry_space_group_name_Hall '-P 4 2 3'
_cell_length_a 5.092
_cell_length_b 5.092
_cell_length_c 5.092
_cell_angle_alpha 90.00
_cell_angle_beta 90.00
_cell_angle_gamma 90.00
loop_
_atom_site_label
_atom_site_fract_x
_atom_site_fract_y
_atom_site_fract_z
Y1 0.000 0.000 0.000
Hf1 0.000 0.500 0.500
Al1 0.500 0.500 0.500
# D(E_F) = 8.6 states/eV/f.u.
# final energy = -37.05 eV/cell
# formation enthalpy at 0 K = 3.0 eV per formula unit
# M_tot = 0.0 μB/f.u.

---

The highest final energy belongs to which entry?
HfAl3W